Entry 1:
{"formula": "ZnGa2Pt9", "functional": "GGA-PBE", "state": "relaxed", "lattice_angstrom": [[-1.9488, 2.7751, 2.0029], [-3.1132, -2.3947, 0.2889], [4.2705, -4.3272, 10.1508]], "species": ["Zn", "Pt", "Pt", "Pt", "Pt", "Pt", "Pt", "Pt", "Pt", "Pt", "Ga", "Ga"], "fractional_positions": [[0.0000, 0.0000, 0.0000], [0.5000, 0.5000, 0.3336], [0.5000, 0.0000, 0.8336], [0.0000, 0.5000, 0.8336], [0.5000, 0.5000, 0.0000], [0.5000, 0.0000, 0.5000], [0.0000, 0.5000, 0.5000], [0.5000, 0.5000, 0.6664], [0.5000, 0.0000, 0.1664], [0.0000, 0.5000, 0.1664], [0.0000, 0.0000, 0.3311], [0.0000, 0.0000, 0.6689]], "n_ef_per_ev_fu": 10.0, "ef_ev_per_atom": -0.407}


Entry 2:
{"formula": "ZnGaPt4", "functional": "GGA-PBE", "state": "relaxed", "lattice_angstrom": [[2.8299, 0.0000, 0.0000], [0.0000, 7.3643, 0.0000], [0.0000, 0.0000, 17.5188]], "species": ["Pt", "Pt", "Pt", "Pt", "Pt", "Pt", "Pt", "Pt", "Pt", "Pt", "Pt", "Pt", "Pt", "Pt", "Pt", "Pt", "Zn", "Zn", "Zn", "Zn", "Ga", "Ga", "Ga", "Ga"], "fractional_positions": [[0.7500, 0.3583, 0.8324], [0.2500, 0.0341, 0.7929], [0.2500, 0.1105, 0.5713], [0.7500, 0.3895, 0.0713], [0.2500, 0.0395, 0.0697], [0.7500, 0.8895, 0.4287], [0.2500, 0.6105, 0.9287], [0.7500, 0.9605, 0.9303], [0.7500, 0.4659, 0.2929], [0.7500, 0.9659, 0.2071], [0.7500, 0.8583, 0.6676], [0.2500, 0.1417, 0.3324], [0.2500, 0.6417, 0.1676], [0.2500, 0.5395, 0.4303], [0.2500, 0.5341, 0.7071], [0.7500, 0.4605, 0.5697], [0.2500, 0.7596, 0.5477], [0.7500, 0.7404, 0.0477], [0.7500, 0.2404, 0.4523], [0.2500, 0.2596, 0.9523], [0.2500, 0.7757, 0.3101], [0.7500, 0.2243, 0.6899], [0.7500, 0.7243, 0.8101], [0.2500, 0.2757, 0.1899]], "n_ef_per_ev_fu": 3.1, "ef_ev_per_atom": -0.415}


Entry 3:
{"formula": "ZnGa4Pt", "functional": "GGA-PBE", "state": "relaxed", "lattice_angstrom": [[-5.0542, 1.1103, 0.7892], [-1.5283, -3.1469, -5.3598], [-0.6444, -5.2580, 3.2709]], "species": ["Ga", "Ga", "Ga", "Ga", "Ga", "Ga", "Ga", "Ga", "Pt", "Pt", "Zn", "Zn"], "fractional_positions": [[0.2254, 0.6571, 0.3440], [0.7746, 0.3429, 0.3440], [0.3195, 0.2400, 0.1812], [0.3195, 0.7600, 0.8188], [0.6805, 0.7600, 0.1812], [0.7746, 0.6571, 0.6560], [0.6805, 0.2400, 0.8188], [0.2254, 0.3429, 0.6560], [0.0000, 0.0000, 0.5000], [0.0000, 0.5000, 0.0000], [0.5000, 0.0000, 0.5000], [0.0000, 0.0000, 0.0000]], "n_ef_per_ev_fu": 1.4, "ef_ev_per_atom": -0.210}


Entry 4:
{"formula": "ZnGa2Pt", "functional": "GGA-PBE", "state": "relaxed", "lattice_angstrom": [[-2.5828, 1.6049, 7.4112], [0.0863, -7.8226, 1.7240], [1.1049, -2.9116, 5.3449]], "species": ["Pt", "Pt", "Zn", "Zn", "Ga", "Ga", "Ga", "Ga"], "fractional_positions": [[0.7500, 0.2500, 0.5000], [0.0000, 0.0000, 0.0000], [0.2500, 0.7500, 0.5000], [0.5000, 0.5000, 0.0000], [0.3750, 0.2990, 0.7500], [0.0491, 0.6250, 0.2500], [0.7010, 0.1250, 0.2500], [0.8750, 0.9510, 0.7500]], "n_ef_per_ev_fu": 1.4, "ef_ev_per_atom": -0.201}


Entry 5:
{"formula": "Zn2GaPt8", "functional": "GGA-PBE", "state": "relaxed", "lattice_angstrom": [[0.0886, 0.3225, -4.0293], [-3.3309, -5.1884, -0.4885], [-4.7016, 5.0356, 2.3282]], "species": ["Ga", "Zn", "Zn", "Pt", "Pt", "Pt", "Pt", "Pt", "Pt", "Pt", "Pt"], "fractional_positions": [[0.5000, 0.0000, 0.0000], [0.7756, 0.3551, 0.5513], [0.2244, 0.6449, 0.4487], [0.9548, 0.2713, 0.9096], [0.6774, 0.9220, 0.3548], [0.0452, 0.7287, 0.0904], [0.8556, 0.7992, 0.7112], [0.5948, 0.4533, 0.1896], [0.1444, 0.2008, 0.2888], [0.4052, 0.5467, 0.8104], [0.3226, 0.0780, 0.6452]], "n_ef_per_ev_fu": 7.9, "ef_ev_per_atom": -0.342}


Entry 6:
{"formula": "Zr3Ga3Pt", "functional": "GGA-PBE", "state": "relaxed", "lattice_angstrom": [[-3.9739, -0.2527, 0.7366], [-1.7302, -5.2476, -0.0034], [0.4154, -1.7284, 12.7797]], "species": ["Zr", "Zr", "Zr", "Zr", "Zr", "Zr", "Ga", "Ga", "Ga", "Ga", "Ga", "Ga", "Pt", "Pt"], "fractional_positions": [[0.4830, 0.6601, 0.3739], [0.2676, 0.2370, 0.2278], [0.5170, 0.3399, 0.6261], [0.6096, 0.7068, 0.0741], [0.3904, 0.2932, 0.9259], [0.7324, 0.7630, 0.7722], [0.1301, 0.2781, 0.4618], [0.8856, 0.1547, 0.0742], [0.0083, 0.2074, 0.7759], [0.9917, 0.7926, 0.2241], [0.1144, 0.8453, 0.9258], [0.8699, 0.7219, 0.5382], [0.7675, 0.0834, 0.3817], [0.2325, 0.9166, 0.6183]], "n_ef_per_ev_fu": 3.9, "ef_ev_per_atom": -0.744}


Entry 7:
{"formula": "Zr2GaPt", "functional": "GGA-PBE", "state": "relaxed", "lattice_angstrom": [[3.5848, 0.0000, 0.0000], [1.7924, 3.1046, 0.0000], [1.7924, 1.0349, 7.5601]], "species": ["Ga", "Zr", "Zr", "Pt"], "fractional_positions": [[0.5000, 0.5000, 0.5000], [0.7459, 0.7459, 0.7622], [0.2541, 0.2541, 0.2378], [0.0000, 0.0000, 0.0000]], "n_ef_per_ev_fu": 3.7, "ef_ev_per_atom": -0.475}


Entry 8:
{"formula": "ZrGa2Pt9", "functional": "GGA-PBE", "state": "relaxed", "lattice_angstrom": [[3.9932, 0.0000, 0.0000], [0.0000, 3.9932, 0.0000], [0.0000, 0.0000, 11.8852]], "species": ["Pt", "Pt", "Pt", "Pt", "Pt", "Pt", "Pt", "Pt", "Pt", "Zr", "Ga", "Ga"], "fractional_positions": [[0.0000, 0.5000, 0.8292], [0.5000, 0.5000, 0.0000], [0.5000, 0.0000, 0.1708], [0.0000, 0.5000, 0.5000], [0.5000, 0.0000, 0.8292], [0.5000, 0.0000, 0.5000], [0.5000, 0.5000, 0.3358], [0.0000, 0.5000, 0.1708], [0.5000, 0.5000, 0.6642], [0.0000, 0.0000, 0.0000], [0.0000, 0.0000, 0.3395], [0.0000, 0.0000, 0.6605]], "n_ef_per_ev_fu": 9.1, "ef_ev_per_atom": -0.664}


Entry 9:
{"formula": "Zr2GaPt2", "functional": "GGA-PBE", "state": "relaxed", "lattice_angstrom": [[-1.0169, 3.8762, -1.3512], [-2.4096, 2.9557, 3.7165], [2.8274, 3.8528, 2.3488]], "species": ["Zr", "Zr", "Pt", "Pt", "Ga"], "fractional_positions": [[0.1994, 0.3002, 0.3002], [0.8006, 0.6998, 0.6998], [0.5000, 0.7375, 0.2626], [0.5000, 0.2625, 0.7374], [0.0000, 0.0000, 0.0000]], "n_ef_per_ev_fu": 4.7, "ef_ev_per_atom": -0.888}


Entry 10:
{"formula": "ZrGaPt2", "functional": "GGA-PBE", "state": "relaxed", "lattice_angstrom": [[5.4401, 0.0000, 0.0000], [0.0000, 7.1401, 0.0000], [0.0000, 0.0000, 7.1066]], "species": ["Pt", "Pt", "Pt", "Pt", "Pt", "Pt", "Pt", "Pt", "Ga", "Ga", "Ga", "Ga", "Zr", "Zr", "Zr", "Zr"], "fractional_positions": [[0.4250, 0.9502, 0.2998], [0.9250, 0.4502, 0.2002], [0.9250, 0.0498, 0.2002], [0.5750, 0.4502, 0.7002], [0.0750, 0.9502, 0.7998], [0.5750, 0.0498, 0.7002], [0.4250, 0.5498, 0.2998], [0.0750, 0.5498, 0.7998], [0.3595, 0.7500, 0.6018], [0.1405, 0.7500, 0.1018], [0.8595, 0.2500, 0.8982], [0.6405, 0.2500, 0.3982], [0.8566, 0.7500, 0.4611], [0.6434, 0.7500, 0.9611], [0.3566, 0.2500, 0.0389], [0.1434, 0.2500, 0.5389]], "n_ef_per_ev_fu": 1.3, "ef_ev_per_atom": -0.919}